[1]
Here is a relaxed Pu3Ti5H12 crystal from the Alexandria database. Energies are from PBE.

Summary:
Crystal system   cubic
Electronic total energy   -6.415 eV per atom
Spin magnetization   17.1 μB/f.u.
DOS at the Fermi energy   205.707 states/eV per cell
Calculated volume   10.276 Å³ per atom

Geometry as CIF:
```
data_Pu3Ti5H12
_cell_length_a 11.803
_cell_length_b 11.803
_cell_length_c 11.803
_cell_angle_alpha 90.00
_cell_angle_beta 90.00
_cell_angle_gamma 90.00
_space_group_name_H-M_alt 'I a -3 d'
_space_group_IT_number 230
_space_group_name_Hall '-I 4bd 2c 3'
loop_
_atom_site_label
_atom_site_type_symbol
_atom_site_fract_x
_atom_site_fract_y
_atom_site_fract_z
_atom_site_occupancy
Pu1 Pu 0.000 0.250 0.125 1
Ti1 Ti 0.000 0.000 0.000 1
Ti2 Ti 0.000 0.250 0.375 1
H1 H 0.022 0.063 0.646 1
```

***

[2]
Here is a relaxed PuTiH2 crystal from the Alexandria database. Energies are from PBE.

Summary:
Polymorph energy (0 for the lowest one)   2.61 kcal/mol of atoms
Crystal system   trigonal
Electronic total energy   -7.341 eV per atom
Spin magnetization   4.5 μB/f.u.
DOS at the Fermi energy   20.845 states/eV per cell
Calculated volume   11.100 Å³ per atom

Geometry as CIF:
```
data_PuTiH2
_cell_length_a 2.9827
_cell_length_b 2.9827
_cell_length_c 17.2880
_cell_angle_alpha 90.00
_cell_angle_beta 90.00
_cell_angle_gamma 120.00
_space_group_name_H-M_alt 'R 3 m'
_space_group_IT_number 160
_space_group_name_Hall 'R 3 -2"'
loop_
_atom_site_label
_atom_site_type_symbol
_atom_site_fract_x
_atom_site_fract_y
_atom_site_fract_z
_atom_site_occupancy
Pu1 Pu 0.0000 0.0000 0.0000 1
Ti1 Ti 0.0000 0.0000 0.1731 1
H1 H 0.0000 0.0000 0.4382 1
H2 H 0.0000 0.0000 0.5678 1
```

***

[3]
Here is a relaxed PuTi2H4 crystal from the Alexandria database. Energies are from PBE.

Summary:
Crystal system   monoclinic
Electronic total energy   -6.553 eV per atom
Spin magnetization   5.7 μB/f.u.
DOS at the Fermi energy   53.890 states/eV per cell
Calculated volume   10.563 Å³ per atom

Geometry as CIF:
```
data_PuTi2H4
_cell_length_a 8.370
_cell_length_b 8.410
_cell_length_c 5.918
_cell_angle_alpha 90.00
_cell_angle_beta 134.77
_cell_angle_gamma 90.00
_space_group_name_H-M_alt 'C 1 2/c 1'
_space_group_IT_number 15
_space_group_name_Hall '-C 2yc'
loop_
_atom_site_label
_atom_site_type_symbol
_atom_site_fract_x
_atom_site_fract_y
_atom_site_fract_z
_atom_site_occupancy
Pu1 Pu 0.000 0.123 0.250 1
Ti1 Ti 0.000 0.500 0.000 1
Ti2 Ti 0.250 0.250 0.000 1
H1 H 0.001 0.276 0.552 1
H2 H 0.198 0.473 0.947 1
```

***

[4]
Here is a relaxed PuTiH crystal from the Alexandria database. Energies are from PBE.

Summary:
Polymorph energy (0 for the lowest one)   0.00 kcal/mol of atoms
Crystal system   monoclinic
Electronic total energy   -8.579 eV per atom
Spin magnetization   0.0 μB/f.u.
DOS at the Fermi energy   15.037 states/eV per cell
Calculated volume   12.636 Å³ per atom

Geometry as CIF:
```
data_PuTiH
_cell_length_a 6.239
_cell_length_b 4.114
_cell_length_c 6.620
_cell_angle_alpha 90.00
_cell_angle_beta 116.84
_cell_angle_gamma 90.00
_space_group_name_H-M_alt 'P 1 21/m 1'
_space_group_IT_number 11
_space_group_name_Hall '-P 2yb'
loop_
_atom_site_label
_atom_site_type_symbol
_atom_site_fract_x
_atom_site_fract_y
_atom_site_fract_z
_atom_site_occupancy
Pu1 Pu 0.033 0.250 0.094 1
Pu2 Pu 0.400 0.750 0.008 1
Ti1 Ti 0.152 0.250 0.648 1
Ti2 Ti 0.344 0.750 0.466 1
H1 H 0.152 0.750 0.627 1
H2 H 0.317 0.250 0.456 1
```

***

[5]
Here is a relaxed PuTi3H crystal from the Alexandria database. Energies are from PBE.

Summary:
Crystal system   cubic
Electronic total energy   -8.320 eV per atom
Spin magnetization   6.2 μB/f.u.
DOS at the Fermi energy   3.880 states/eV per cell
Calculated volume   15.052 Å³ per atom

Geometry as CIF:
```
data_PuTi3H
_cell_length_a 4.222
_cell_length_b 4.222
_cell_length_c 4.222
_cell_angle_alpha 90.00
_cell_angle_beta 90.00
_cell_angle_gamma 90.00
_space_group_name_H-M_alt 'P m -3 m'
_space_group_IT_number 221
_space_group_name_Hall '-P 4 2 3'
loop_
_atom_site_label
_atom_site_type_symbol
_atom_site_fract_x
_atom_site_fract_y
_atom_site_fract_z
_atom_site_occupancy
Pu1 Pu 0.000 0.000 0.000 1
Ti1 Ti 0.000 0.500 0.500 1
H1 H 0.500 0.500 0.500 1
```

***

[6]
Here is a relaxed PuTiH2 crystal from the Alexandria database. Energies are from PBE.

Summary:
Polymorph energy (0 for the lowest one)   0.00 kcal/mol of atoms
Crystal system   trigonal
Electronic total energy   -7.454 eV per atom
Spin magnetization   4.6 μB/f.u.
DOS at the Fermi energy   18.658 states/eV per cell
Calculated volume   10.956 Å³ per atom

Geometry as CIF:
```
data_PuTiH2
_cell_length_a 2.9850
_cell_length_b 2.9850
_cell_length_c 17.0384
_cell_angle_alpha 90.00
_cell_angle_beta 90.00
_cell_angle_gamma 120.00
_space_group_name_H-M_alt 'R -3 m'
_space_group_IT_number 166
_space_group_name_Hall '-R 3 2"'
loop_
_atom_site_label
_atom_site_type_symbol
_atom_site_fract_x
_atom_site_fract_y
_atom_site_fract_z
_atom_site_occupancy
Pu1 Pu 0.0000 0.0000 0.0000 1
Ti1 Ti 0.0000 0.0000 0.5000 1
H1 H 0.0000 0.0000 0.2266 1
```

***

[7]
Here is a relaxed PuTiH crystal from the Alexandria database. Energies are from PBE.

Summary:
Polymorph energy (0 for the lowest one)   0.68 kcal/mol of atoms
Crystal system   trigonal
Electronic total energy   -8.550 eV per atom
Spin magnetization   4.6 μB/f.u.
DOS at the Fermi energy   6.551 states/eV per cell
Calculated volume   14.054 Å³ per atom

Geometry as CIF:
```
data_PuTiH
_cell_length_a 2.9896
_cell_length_b 2.9896
_cell_length_c 5.4469
_cell_angle_alpha 90.00
_cell_angle_beta 90.00
_cell_angle_gamma 120.00
_space_group_name_H-M_alt 'P 3 m 1'
_space_group_IT_number 156
_space_group_name_Hall 'P 3 -2"'
loop_
_atom_site_label
_atom_site_type_symbol
_atom_site_fract_x
_atom_site_fract_y
_atom_site_fract_z
_atom_site_occupancy
Pu1 Pu 0.0000 0.0000 0.0000 1
Ti1 Ti 0.3333 0.6667 0.4813 1
H1 H 0.6667 0.3333 0.6739 1
```

***

[8]
Here is a relaxed PuTiH4 crystal from the Alexandria database. Energies are from PBE.

Summary:
Crystal system   orthorhombic
Electronic total energy   -6.297 eV per atom
Spin magnetization   5.0 μB/f.u.
DOS at the Fermi energy   28.939 states/eV per cell
Calculated volume   9.274 Å³ per atom

Geometry as CIF:
```
data_PuTiH4
_cell_length_a 4.917
_cell_length_b 5.035
_cell_length_c 8.990
_cell_angle_alpha 90.00
_cell_angle_beta 90.00
_cell_angle_gamma 90.00
_space_group_name_H-M_alt 'I m m a'
_space_group_IT_number 74
_space_group_name_Hall '-I 2b 2'
loop_
_atom_site_label
_atom_site_type_symbol
_atom_site_fract_x
_atom_site_fract_y
_atom_site_fract_z
_atom_site_occupancy
Pu1 Pu 0.000 0.250 0.128 1
Ti1 Ti 0.000 0.250 0.624 1
H1 H 0.207 0.000 0.500 1
H2 H 0.250 0.049 0.750 1
```

***

- Among the records above, which one has the lowest electronic total energy?
  number 4